DFT (PBE with a Hubbard U) results for an optimized crystal structure of KCaMnO3.

Values from the calculation:
- Total magnetization: 4.000 μB/f.u.
- Total DFT energy (no corrections): -74.84 eV per cell

a b c (Å): 3.561 6.007 8.790
angles (deg): 114.48 90.00 90.00
Each line ends with the local moment (μB).
Element x y z (fractional)
K 0.750 0.536 0.672  0.00
K 0.250 0.464 0.328  0.00
Ca 0.250 0.773 0.036  0.01
Ca 0.750 0.227 0.964  0.01
Mn 0.250 0.037 0.652  3.88
Mn 0.750 0.963 0.348  3.88
O 0.250 0.142 0.467  0.00
O 0.750 0.078 0.173  -0.03
O 0.750 0.633 0.163  -0.01
O 0.750 0.858 0.533  0.00
O 0.250 0.367 0.837  -0.01
O 0.250 0.922 0.827  -0.03